# Pm8Sm2Er3 (PBE, relaxed)
data_Pm8Sm2Er3
_space_group_name_H-M_alt 'P -1'
_space_group_IT_number 2
_space_group_name_Hall '-P 1'
_cell_length_a 6.2540
_cell_length_b 6.2637
_cell_length_c 11.4273
_cell_angle_alpha 89.97
_cell_angle_beta 79.46
_cell_angle_gamma 80.37
loop_
_atom_site_label
_atom_site_fract_x
_atom_site_fract_y
_atom_site_fract_z
_atom_site_occupancy
Pm1 0.0395 0.0793 0.3489 1
Pm2 0.1924 0.3828 0.7272 1
Pm3 0.3463 0.6924 0.1176 1
Pm4 0.4226 0.8446 0.8047 1
Sm1 0.1150 0.2310 0.0392 1
Er1 0.2707 0.5391 0.4249 1
Er2 0.5000 0.0000 0.5000 1
# **Final energy**: -4.684 eV/atom
# **Energy relative to the elements**: 0.0182 eV/atom
# **Relative energy among the computed polymorphs**: 0 meV/atom
# **Total magnetic moment**: 0.00 μB/f.u.
# **Fermi-level density of states**: 1.4984 states/eV/atom